VASP calculation (PBE) on crystalline PmDyTh2 at its relaxed geometry.

Summary:
* final energy: -5.85 eV/atom

Structure (extended XYZ):
```
4
Lattice="-2.6715 1.5424 -1.6622 -1.1978 -1.3373 -3.0092 -9.3164 -7.0040 4.7808" Properties=species:S:1:pos:R:3 pbc="T T T"
Pm 0.0000 0.0000 0.0000
Th -7.1963 -5.1359 3.1067
Th -5.9895 -1.6630 -2.9973
Dy -6.5929 -3.3994 0.0547
```